# Ta2CrW

A relaxed structure of Ta2CrW (PBE, the Alexandria database).

Lattice parameters (Å, degrees): 3.203 4.558 4.408 90.00 90.00 90.00
Fractional coordinates of all 4 atoms:
Cr  0.000  0.500  0.500
Ta  0.000  0.000  0.000
Ta  0.500  0.500  0.000
W  0.500  0.000  0.500

# Ta2CrW

A relaxed structure of Ta2CrW (PBE, the Alexandria database).

Lattice parameters (Å, degrees): 8.711 8.711 8.711 19.74 19.74 19.74
Fractional coordinates of all 4 atoms:
Cr  0.750  0.750  0.750
Ta  0.006  0.006  0.006
Ta  0.494  0.494  0.494
W  0.250  0.250  0.250

Number 1: formation enthalpy at 0 K 52 meV per atom, final energy -11.5187 eV/atom. Number 2: formation enthalpy at 0 K 343 meV per atom, final energy -11.2272 eV/atom.